Density functional theory data (GGA-PBE) for a relaxed TlBr2Cl crystal.

Output
VASP energy = -2.27 eV per atom
Energy relative to the elements, uncorrected = -379.1 meV per atom

a = 5.1825 Å, b = 5.1825 Å, c = 5.6348 Å
α = 90.00°, β = 90.00°, γ = 117.67°
Fractional coordinates of all 4 atoms:
1 Tl 0.0000 0.0000 0.0000
2 Br 0.0000 0.5000 0.5000
3 Br 0.5000 0.0000 0.5000
4 Cl 0.5000 0.5000 0.0000